Computed, not measured: a geometry-optimized Mn2CoHRh structure at the PBE level of DFT.

Unit cell a=3.666 b=3.666 c=3.732 alpha=90.00 beta=90.00 gamma=90.00
Fractional positions:
1 Mn 0.000 0.500 0.000
2 Mn 0.500 0.000 0.000
3 Co 0.000 0.000 0.500
4 H 0.500 0.500 0.000
5 Rh 0.500 0.500 0.500

Values from the calculation:
N(E_F) in states/eV/cell: 5.3
Mass density in Mg/m³: 9.03
Space-group type: P4/mmm (123)
VASP energy in eV/atom: -7.167